Entry 1:
AcGa3Au3 | Alexandria via LeMat-Bulk | GGA-PBE | relaxed; total magnetic moment = 0.0 μB/cell; formation energy = -0.4207 eV/atom; energy above the lowest structure with this stoichiometry = 0.000 eV per atom
1.0
4.833 0.000 0.000
0.000 8.117 -4.635
0.000 -0.045 9.349
Au Ga Ac
6 6 2
direct
0.750 0.927 0.325 Au
0.250 0.073 0.675 Au
0.750 0.398 0.073 Au
0.250 0.602 0.927 Au
0.750 0.675 0.601 Au
0.250 0.325 0.399 Au
0.250 0.037 0.363 Ga
0.250 0.326 0.963 Ga
0.750 0.362 0.325 Ga
0.750 0.674 0.037 Ga
0.250 0.638 0.675 Ga
0.750 0.963 0.637 Ga
0.250 0.667 0.333 Ac
0.750 0.333 0.667 Ac

Entry 2:
Ac8Ga2Au | Alexandria via LeMat-Bulk | GGA-PBE | relaxed; total magnetic moment = 0.0 μB/cell; formation energy = -0.2698 eV/atom
1.0
-1.051 -1.747 5.091
6.312 -3.959 -0.055
3.732 9.721 1.153
Ga Ac Au
2 8 1
direct
0.810 0.249 0.620 Ga
0.190 0.751 0.380 Ga
0.659 0.973 0.318 Ac
0.592 0.454 0.183 Ac
0.341 0.027 0.682 Ac
0.792 0.679 0.584 Ac
0.208 0.321 0.416 Ac
0.026 0.772 0.052 Ac
0.974 0.228 0.948 Ac
0.408 0.546 0.817 Ac
0.500 0.000 0.000 Au

Entry 3:
AcGa5Au7 | Alexandria via LeMat-Bulk | GGA-PBE | relaxed; total magnetic moment = 0.0 μB/cell; formation energy = -0.3087 eV/atom
1.0
-0.496 3.161 -4.690
-6.730 2.445 -1.077
1.395 7.012 1.142
Ga Au Ac
5 7 1
direct
0.494 0.492 0.004 Ga
0.737 0.763 0.763 Ga
0.011 0.492 0.004 Ga
0.011 0.004 0.492 Ga
0.494 0.004 0.492 Ga
0.987 0.671 0.356 Au
0.329 0.671 0.671 Au
0.515 0.188 0.782 Au
0.987 0.356 0.671 Au
0.653 0.347 0.347 Au
0.273 0.227 0.227 Au
0.515 0.782 0.188 Au
0.995 0.005 0.005 Ac